Computed, not measured: a geometry-optimized Na2DyMnO4 structure at the GGA+U level of DFT.

Unit cell a=6.450 b=6.450 c=6.669 alpha=118.74 beta=118.74 gamma=89.23
Fractional coordinates of all 16 atoms:
Na1 0.000 0.000 0.000
Na2 0.000 0.000 0.500
Na3 0.000 0.500 0.000
Na4 0.500 0.000 0.500
Dy1 0.000 0.500 0.500
Dy2 0.500 0.000 0.000
Mn1 0.500 0.500 0.000
Mn2 0.500 0.500 0.500
O1 0.265 0.712 0.967
O2 0.272 0.280 0.484
O3 0.280 0.272 0.984
O4 0.288 0.735 0.533
O5 0.712 0.265 0.467
O6 0.720 0.728 0.016
O7 0.728 0.720 0.516
O8 0.735 0.288 0.033

Summary:
- SG = C2/c
- crystal system = monoclinic
- final energy (eV per atom) = -6.500
- size of the total moment (μB per atom) = 0.50